1.
An optimized crystal structure of Sc2HgPt. Source: Alexandria, functional PBE-GGA.

Lattice parameters (Å, degrees): 7.5077 7.5077 7.5077 41.82 150.77 150.76
With the nearest neighbours (Å) after each atom.
Positions (direct):
Sc: 0.0000 0.1808 0.1808  1 Pt 2.54
Sc: 0.0000 0.8192 0.8192  1 Pt 2.54
Hg: 0.0000 0.5000 0.5000  4 Pt 2.68
Pt: 0.0000 0.0000 0.0000  2 Sc 2.54, 4 Hg 2.68

## Properties
Symmetry   I4/mmm
ΔH_f (0 K)   -0.024 eV/atom
Magnetization   0.000 μB/atom



2.
An optimized crystal structure of MgGaGe. Source: Alexandria, functional PBE-GGA.

Lattice parameters (Å, degrees): 4.2727 4.1141 4.1141 120.00 90.00 90.00
With the nearest neighbours (Å) after each atom.
Positions (direct):
Ge: 0.0601 0.0000 0.0000  3 Ga 2.53
Mg: 0.6736 0.6667 0.3333  3 Ge 2.89, 3 Ga 2.94
Ga: 0.2663 0.3333 0.6667  3 Ge 2.53

## Properties
Symmetry   P3m1
ΔH_f (0 K)   0.011 eV/atom
Magnetization   0.000 μB/atom
Polymorph energy (0 for the lowest one)   0.212 eV per formula unit



3.
An optimized crystal structure of Tb3Dy4. Source: Alexandria, functional PBE-GGA.

Lattice parameters (Å, degrees): 5.0064 7.9195 6.1323 97.40 114.09 90.00
With the nearest neighbours (Å) after each atom.
Positions (direct):
Tb: 0.0000 0.0000 0.0000  8 Dy 3.54, 4 Tb 3.54
Tb: 0.5714 0.7142 0.1428  9 Dy 3.54, 3 Tb 3.54
Tb: 0.4286 0.2858 0.8572  9 Dy 3.54, 3 Tb 3.54
Dy: 0.8572 0.5712 0.7143  6 Dy 3.54, 6 Tb 3.54
Dy: 0.1428 0.4288 0.2857  6 Dy 3.54, 6 Tb 3.54
Dy: 0.7142 0.1431 0.4285  5 Dy 3.54, 7 Tb 3.54
Dy: 0.2858 0.8569 0.5715  5 Dy 3.54, 7 Tb 3.54

## Properties
Symmetry   C2/m
ΔH_f (0 K)   0.016 eV/atom
Magnetization   0.000 μB/atom



| no. | ρ (g/cm3) |
| --- | --- |
| 1 | 8.0 |
| 2 | 4.4 |
| 3 | 8.5 |